# 1
The following is a DFT calculation (PBE-GGA) of a geometry-optimized TbMgSc2S4 structure.

The formation energy without anion corrections comes out at -1726.6 meV/atom. The total magnetization is 0.0 μB/cell. For the density of states at the Fermi level, the calculation gives 0.464 states/eV/atom.

Cell: 6.5316 3.7340 6.5402 Å, 90.00 109.10 90.00°
With the nearest neighbours (Å) after each atom.
Space group P2/m (No. 10)
Inequivalent atoms, fractional coordinates:
Tb  0.0000  0.0000  0.0000 (multiplicity 1)  6 S 2.73
Mg  0.5000  0.5000  0.0000 (multiplicity 1)  6 S 2.63
Sc  0.0000  0.5000  0.5000 (multiplicity 1)  6 S 2.69-2.70
Sc  0.5000  0.0000  0.5000 (multiplicity 1)  6 S 2.60
S  0.2616  0.0000  0.7491 (multiplicity 2)  3 Sc 2.60-2.69, 2 Mg 2.63, 1 Tb 2.73
S  0.2655  0.5000  0.2588 (multiplicity 2)  3 Sc 2.60-2.70, 1 Mg 2.63, 2 Tb 2.73

# 2
The following is a DFT calculation (PBE-GGA) of a geometry-optimized LiTl3Mo structure.

The calculation puts the formation energy at 2.56 eV/f.u. The total magnetization is 0.0 μB/cell. The polymorph energy (0 for the lowest one) comes out at 0.0 kJ/mol of atoms. For the density of states at the Fermi level, the calculation gives 0.664 states/eV/atom.

Cell: 5.3896 5.3896 5.3896 Å, 90.00 90.00 90.00°
With the nearest neighbours (Å) after each atom.
Space group Pm-3m (No. 221)
Inequivalent atoms, fractional coordinates:
Li  0.0000  0.0000  0.0000 (multiplicity 1)  12 Tl 3.81
Tl  0.0000  0.5000  0.5000 (multiplicity 3)  2 Mo 2.69
Mo  0.5000  0.5000  0.5000 (multiplicity 1)  6 Tl 2.69

# 3
The following is a DFT calculation (PBE-GGA) of a geometry-optimized BaPtN3 structure.

The formation energy without anion corrections comes out at 873.9 meV/atom. The total magnetization is 3.3 μB/cell. For the density of states at the Fermi level, the calculation gives 0.727 states/eV/atom.

Cell: 4.1366 4.1366 4.1366 Å, 90.00 90.00 90.00°
With the nearest neighbours (Å) after each atom.
Space group Pm-3m (No. 221)
Inequivalent atoms, fractional coordinates:
Ba  0.0000  0.0000  0.0000 (multiplicity 1)  12 N 2.93
Pt  0.5000  0.5000  0.5000 (multiplicity 1)  6 N 2.07
N  0.0000  0.5000  0.5000 (multiplicity 3)  2 Pt 2.07

# 4
The following is a DFT calculation (PBE-GGA) of a geometry-optimized SmThAl4 structure.

The calculation puts the formation energy at -2.64 eV/f.u. The total magnetization is 0.0 μB/cell. The polymorph energy (0 for the lowest one) comes out at 1.9 kJ/mol of atoms. For the density of states at the Fermi level, the calculation gives 0.427 states/eV/atom.

Cell: 4.3098 4.3098 15.2627 Å, 90.00 90.00 90.00°
With the nearest neighbours (Å) after each atom.
Space group I-4m2 (No. 119)
Inequivalent atoms, fractional coordinates:
Sm  0.0000  0.0000  0.0000 (multiplicity 2)  12 Al 3.30-3.34
Th  0.0000  0.5000  0.7500 (multiplicity 2)  12 Al 3.30-3.34
Al  0.0000  0.0000  0.4176 (multiplicity 4)  3 Al 2.52
Al  0.0000  0.5000  0.1675 (multiplicity 4)  3 Al 2.52

# 5
The following is a DFT calculation (PBE-GGA) of a geometry-optimized BSb2Pd structure.

The formation energy without anion corrections comes out at 215.5 meV/atom. The total magnetization is 0.0 μB/cell. For the density of states at the Fermi level, the calculation gives 0.546 states/eV/atom.

Cell: 5.8888 5.8888 10.2029 Å, 90.00 90.00 90.00°
With the nearest neighbours (Å) after each atom.
Space group I-42d (No. 122)
Inequivalent atoms, fractional coordinates:
B  0.0000  0.0000  0.0000 (multiplicity 4)  4 Sb 2.29
Sb  0.2031  0.2500  0.1250 (multiplicity 8)  2 B 2.29
Pd  0.0000  0.0000  0.5000 (multiplicity 4)  4 Sb 2.62

# 6
The following is a DFT calculation (PBE-GGA) of a geometry-optimized YCuPd4 structure.

The calculation puts the formation energy at -2.62 eV/f.u. The total magnetization is 0.0 μB/cell. The polymorph energy (0 for the lowest one) comes out at 0.0 kJ/mol of atoms. For the density of states at the Fermi level, the calculation gives 1.075 states/eV/atom.

Cell: 7.4984 7.4984 7.4984 Å, 90.00 90.00 90.00°
With the nearest neighbours (Å) after each atom.
Space group F-43m (No. 216)
Inequivalent atoms, fractional coordinates:
Y  0.0000  0.0000  0.0000 (multiplicity 4)  12 Pd 3.11, 4 Cu 3.25
Cu  0.2500  0.2500  0.7500 (multiplicity 4)  12 Pd 3.11, 4 Y 3.25
Pd  0.1246  0.1246  0.3754 (multiplicity 16)  6 Pd 2.64-2.66

# 7
The following is a DFT calculation (PBE-GGA) of a geometry-optimized RbTaNi2Pt structure.

The calculation puts the formation energy at 9.64 eV/f.u. The total magnetization is 5.3 μB/cell. For the density of states at the Fermi level, the calculation gives 2.138 states/eV/atom.

Cell: 4.7521 4.7521 5.5468 Å, 90.00 90.00 90.00°
With the nearest neighbours (Å) after each atom.
Space group P4/mmm (No. 123)
Inequivalent atoms, fractional coordinates:
Rb  0.0000  0.0000  0.0000 (multiplicity 1)  2 Pt 2.77
Ta  0.5000  0.5000  0.0000 (multiplicity 1)  4 Rb 3.36, 8 Ni 3.65
Ni  0.0000  0.5000  0.5000 (multiplicity 2)  2 Pt 2.38
Pt  0.0000  0.0000  0.5000 (multiplicity 1)  4 Ni 2.38

# 8
The following is a DFT calculation (PBE-GGA) of a geometry-optimized Mg2NF structure.

The formation energy without anion corrections comes out at -1640.4 meV/atom. The total magnetization is 0.0 μB/cell. The polymorph energy (0 for the lowest one) comes out at 15.8 kJ/mol of atoms. For the density of states at the Fermi level, the calculation gives 0.002 states/eV/atom.

Cell: 3.1816 3.1816 16.6390 Å, 90.00 90.00 120.00°
With the nearest neighbours (Å) after each atom.
Space group R3m (No. 160, hexagonal axes)
Inequivalent atoms, fractional coordinates:
Mg  0.0000  0.0000  0.0000 (multiplicity 3)  3 N 2.06
Mg  0.0000  0.0000  0.2085 (multiplicity 3)  3 N 2.16, 3 F 2.27
N  0.0000  0.0000  0.6104 (multiplicity 3)  6 Mg 2.06-2.16
F  0.0000  0.0000  0.7950 (multiplicity 3)  3 Mg 2.27

# 9
The following is a DFT calculation (PBE-GGA) of a geometry-optimized Ta2GaHO structure.

The value obtained for the total energy is -5.91 eV/atom. The total magnetization is 0.0 μB/cell. For the density of states at the Fermi level, the calculation gives 0.589 states/eV/atom.

Cell: 4.9305 4.9305 3.0143 Å, 90.00 90.00 90.00°
With the nearest neighbours (Å) after each atom.
Space group P4/mmm (No. 123)
Inequivalent atoms, fractional coordinates:
Ta  0.0000  0.5000  0.0000 (multiplicity 2)  2 Ga 2.47
Ga  0.0000  0.0000  0.0000 (multiplicity 1)  2 H 1.51
H  0.0000  0.0000  0.5000 (multiplicity 1)  2 Ga 1.51
O  0.5000  0.5000  0.5000 (multiplicity 1)  8 Ta 2.89, 2 O 3.01

# 10
The following is a DFT calculation (PBE-GGA) of a geometry-optimized AcPrSm3Y structure.

The calculation puts the formation energy at 0.21 eV/f.u. The total magnetization is 0.0 μB/cell. For the density of states at the Fermi level, the calculation gives 1.671 states/eV/atom.

Cell: 8.2837 5.2303 10.4344 Å, 90.00 108.66 90.00°
With the nearest neighbours (Å) after each atom.
Space group P2_1/m (No. 11)
Inequivalent atoms, fractional coordinates:
Ac  0.1663  0.2500  0.2923 (multiplicity 2)  3 Y 3.68-3.71, 8 Sm 3.69-3.72, 1 Pr 3.74
Pr  0.4957  0.7500  0.8750 (multiplicity 2)  7 Sm 3.63-3.71, 2 Pr 3.68, 2 Y 3.69, 1 Ac 3.74
Sm  0.1694  0.7500  0.0401 (multiplicity 2)  3 Pr 3.64-3.71, 5 Sm 3.68-3.76, 3 Ac 3.69-3.72, 1 Y 3.69
Sm  0.1700  0.2500  0.7918 (multiplicity 2)  1 Y 3.66, 3 Pr 3.66-3.69, 6 Sm 3.67-3.76, 2 Ac 3.72
Sm  0.1698  0.7500  0.5454 (multiplicity 2)  1 Pr 3.63, 5 Sm 3.67-3.74, 3 Y 3.67-3.73, 3 Ac 3.69-3.71
Y  0.4977  0.2500  0.6260 (multiplicity 2)  5 Sm 3.66-3.73, 3 Ac 3.68-3.71, 2 Pr 3.69, 2 Y 3.72

# 11
The following is a DFT calculation (PBE-GGA) of a geometry-optimized LiPmP2O6 structure.

The formation energy without anion corrections comes out at -2254.6 meV/atom. The total magnetization is 6.0 μB/cell. For the density of states at the Fermi level, the calculation gives 0.005 states/eV/atom.

Cell: 5.2340 5.2340 16.6214 Å, 90.00 90.00 120.00°
With the nearest neighbours (Å) after each atom.
Space group R-3 (No. 148, hexagonal axes)
Inequivalent atoms, fractional coordinates:
Li  0.0000  0.0000  0.0000 (multiplicity 3)  6 O 2.28
Pm  0.0000  0.0000  0.5000 (multiplicity 3)  6 O 2.40
P  0.0000  0.0000  0.2770 (multiplicity 6)  3 O 1.56
O  0.0210  0.7262  0.7504 (multiplicity 18)  1 P 1.56

# 12
The following is a DFT calculation (PBE-GGA) of a geometry-optimized Ti2Ga2Au structure.

The calculation puts the formation energy at -0.63 eV/f.u. The total magnetization is 0.0 μB/cell. The polymorph energy (0 for the lowest one) comes out at 28.3 kJ/mol of atoms. For the density of states at the Fermi level, the calculation gives 0.763 states/eV/atom.

Cell: 7.7304 7.7304 2.9136 Å, 90.00 90.00 90.00°
With the nearest neighbours (Å) after each atom.
Space group P4/mbm (No. 127)
Inequivalent atoms, fractional coordinates:
Ti  0.1219  0.3781  0.0000 (multiplicity 4)  6 Ga 2.61-2.79, 3 Ti 2.67-2.91
Ga  0.1797  0.6797  0.5000 (multiplicity 4)  6 Ti 2.61-2.79, 2 Ga 2.91
Au  0.0000  0.0000  0.0000 (multiplicity 2)  2 Au 2.91, 4 Ti 3.07, 8 Ga 3.19